(1)
Material: YTlIr2
Method: DFT, PBE
State: relaxed

The energy of formation is 0.126 eV per atom. For the total magnetization, the calculation gives 0.000 μB per formula unit.

The structure belongs to space group F-43m (No. 216); the cell edges are 6.7714, 6.7714 and 6.7714 Å and the angles 90.00°, 90.00° and 90.00°. The inequivalent atoms are Y at (0.0000, 0.0000, 0.0000), Tl at (0.2500, 0.2500, 0.7500), Ir at (0.0000, 0.0000, 0.5000) and Ir at (0.2500, 0.2500, 0.2500).

=====

(2)
Material: TaTl2Rh
Method: DFT, PBE
State: relaxed

The energy of formation is 0.097 eV per atom. For the total magnetization, the calculation gives 0.000 μB per formula unit.

The structure belongs to space group Pm (No. 6); the cell edges are 3.1417, 3.1785 and 8.8052 Å and the angles 90.00°, 100.12° and 90.00°. The inequivalent atoms are Ta at (0.0000, 0.0000, 0.0000), Tl at (0.2076, 0.0000, 0.4128), Tl at (0.3719, 0.5000, 0.7416) and Rh at (0.5795, 0.5000, 0.1617).

=====

(3)
Material: BeFeOs
Method: DFT, PBE
State: relaxed

The energy of formation is -0.053 eV per atom. For the total magnetization, the calculation gives 0.000 μB per formula unit.

The structure belongs to space group C2/m (No. 12); the cell edges are 12.1375, 2.7154 and 3.9524 Å and the angles 90.00°, 92.74° and 90.00°. The inequivalent atoms are Be at (0.0699, 0.0000, 0.2083), Fe at (0.2300, 0.5000, 0.2425) and Os at (0.0964, 0.5000, 0.7126).

=====

(4)
Material: K4FeSb
Method: DFT, PBE
State: relaxed

The raw formation energy comes out at 0.69 eV/atom. For the total magnetization, the calculation gives 3.271 μB per formula unit.

The structure belongs to space group F-43m (No. 216); the cell edges are 9.7907, 9.7907 and 9.7907 Å and the angles 90.00°, 90.00° and 90.00°. The inequivalent atoms are K at (0.1239, 0.1239, 0.1239), Fe at (0.0000, 0.0000, 0.5000) and Sb at (0.2500, 0.2500, 0.7500).

=====

(5)
Material: HfPaGa
Method: DFT, PBE
State: relaxed

The energy of formation is -0.027 eV per atom. For the total magnetization, the calculation gives 0.001 μB per formula unit.

The structure belongs to space group P-6m2 (No. 187); the cell edges are 4.9373, 4.9373 and 3.1355 Å and the angles 90.00°, 90.00° and 120.00°. The inequivalent atoms are Hf at (0.0000, 0.0000, 0.0000), Pa at (0.3333, 0.6667, 0.5000) and Ga at (0.6667, 0.3333, 0.0000).

=====

(6)
Material: BaAcNd2Se4
Method: DFT, PBE
State: relaxed

The raw formation energy comes out at -1.87 eV/atom. For the total magnetization, the calculation gives 0.000 μB per formula unit.

The structure belongs to space group P2/m (No. 10); the cell edges are 7.5966, 4.3531 and 7.6645 Å and the angles 90.00°, 108.93° and 90.00°. The inequivalent atoms are Ba at (0.0000, 0.0000, 0.0000), Ac at (0.5000, 0.5000, 0.0000), Nd at (0.0000, 0.5000, 0.5000), Nd at (0.5000, 0.0000, 0.5000), Se at (0.2487, 0.0000, 0.7325) and Se at (0.2629, 0.5000, 0.2718).

=====

(7)
Material: Y4GaS3
Method: DFT, PBE
State: relaxed

The raw formation energy comes out at -1.69 eV/atom. For the total magnetization, the calculation gives 0.000 μB per formula unit.

The structure belongs to space group I4/mmm (No. 139); the cell edges are 5.6439, 5.6439 and 11.2801 Å and the angles 90.00°, 90.00° and 90.00°. The inequivalent atoms are Y at (0.0000, 0.0000, 0.2478), Y at (0.0000, 0.5000, 0.0000), Ga at (0.0000, 0.0000, 0.5000), S at (0.0000, 0.0000, 0.0000) and S at (0.0000, 0.5000, 0.2500).

=====

(8)
Material: TbGdLu2
Method: DFT, PBE
State: relaxed

The energy of formation is 0.033 eV per atom. For the total magnetization, the calculation gives 7.418 μB per formula unit.

The structure belongs to space group P4/mmm (No. 123); the cell edges are 3.5225, 3.5225 and 9.9019 Å and the angles 90.00°, 90.00° and 90.00°. The inequivalent atoms are Tb at (0.0000, 0.0000, 0.0000), Gd at (0.0000, 0.0000, 0.5000) and Lu at (0.5000, 0.5000, 0.2485).